1.
# BaYCr2 | Alexandria | PBE-GGA | optimized geometry
# **V**: 27.0 A^3/atom
# **E_form**: 2.18 eV per formula unit
# **Relative energy among the computed polymorphs**: 55.2 meV/atom
# **Total DFT energy (no corrections)**: -6.364 eV per atom
data_BaYCr2
_space_group_name_H-M_alt 'P 4 m m'
_space_group_IT_number 99
_space_group_name_Hall 'P 4 -2'
_cell_length_a 3.469
_cell_length_b 3.469
_cell_length_c 8.960
_cell_angle_alpha 90.00
_cell_angle_beta 90.00
_cell_angle_gamma 90.00
loop_
_atom_site_label
_atom_site_type_symbol
_atom_site_fract_x
_atom_site_fract_y
_atom_site_fract_z
_atom_site_occupancy
Ba1 Ba 0.000 0.000 0.000 1
Y1 Y 0.500 0.500 0.622 1
Cr1 Cr 0.000 0.000 0.391 1
Cr2 Cr 0.500 0.500 0.300 1

2.
# BaY2Cr | Alexandria | PBE-GGA | optimized geometry
# **V**: 33.0 A^3/atom
# **E_form**: 1.21 eV per formula unit
# **Relative energy among the computed polymorphs**: 0.0 meV/atom
# **Total DFT energy (no corrections)**: -5.816 eV per atom
data_BaY2Cr
_space_group_name_H-M_alt 'P 1 2/m 1'
_space_group_IT_number 10
_space_group_name_Hall '-P 2y'
_cell_length_a 3.687
_cell_length_b 3.670
_cell_length_c 9.766
_cell_angle_alpha 90.00
_cell_angle_beta 90.07
_cell_angle_gamma 90.00
loop_
_atom_site_label
_atom_site_type_symbol
_atom_site_fract_x
_atom_site_fract_y
_atom_site_fract_z
_atom_site_occupancy
Ba1 Ba 0.000 0.000 0.000 1
Y1 Y 0.499 0.500 0.329 1
Cr1 Cr 0.000 0.000 0.500 1

3.
# BaY2Cr | Alexandria | PBE-GGA | optimized geometry
# **V**: 33.1 A^3/atom
# **E_form**: 1.95 eV per formula unit
# **Relative energy among the computed polymorphs**: 185.1 meV/atom
# **Total DFT energy (no corrections)**: -5.631 eV per atom
data_BaY2Cr
_space_group_name_H-M_alt 'R -3 m'
_space_group_IT_number 166
_space_group_name_Hall '-R 3 2"'
_cell_length_a 3.7515
_cell_length_b 3.7515
_cell_length_c 32.5906
_cell_angle_alpha 90.00
_cell_angle_beta 90.00
_cell_angle_gamma 120.00
loop_
_atom_site_label
_atom_site_type_symbol
_atom_site_fract_x
_atom_site_fract_y
_atom_site_fract_z
_atom_site_occupancy
Ba1 Ba 0.0000 0.0000 0.0000 1
Y1 Y 0.0000 0.0000 0.2295 1
Cr1 Cr 0.0000 0.0000 0.5000 1

4.
# BaYCr2 | Alexandria | PBE-GGA | optimized geometry
# **V**: 28.2 A^3/atom
# **E_form**: 3.11 eV per formula unit
# **Relative energy among the computed polymorphs**: 287.4 meV/atom
# **Total DFT energy (no corrections)**: -6.132 eV per atom
data_BaYCr2
_space_group_name_H-M_alt 'P 4/m m m'
_space_group_IT_number 123
_space_group_name_Hall '-P 4 2'
_cell_length_a 5.507
_cell_length_b 5.507
_cell_length_c 3.722
_cell_angle_alpha 90.00
_cell_angle_beta 90.00
_cell_angle_gamma 90.00
loop_
_atom_site_label
_atom_site_type_symbol
_atom_site_fract_x
_atom_site_fract_y
_atom_site_fract_z
_atom_site_occupancy
Ba1 Ba 0.000 0.000 0.000 1
Y1 Y 0.500 0.500 0.000 1
Cr1 Cr 0.000 0.500 0.500 1